Material: Y2CuBr2
Method: DFT, PBE-GGA
State: relaxed

Values from the calculation:
**Final energy**: -5.13 eV/atom
**Symmetry**: No. 166
**Magnetic moment**: 0.65 μB/f.u.

abc: 3.923 3.923 11.340
angles: 80.04 80.04 60.00
Last column: magnetic moment on the atom in μB.
Element x y z (fractional)
Br  0.225  0.225  0.326  0.00
Br  0.775  0.775  0.674  0.00
Y  0.385  0.385  0.844  0.13
Y  0.615  0.615  0.156  0.13
Cu  0.000  0.000  0.000  0.02